## K2YNiPb (PBE)

Data for crystalline K2YNiPb at its relaxed geometry.

Structure (POSCAR):
```
K2YNiPb
1.0
5.8056 0.0000 0.0000
0.0000 5.8056 0.0000
0.0000 0.0000 5.2534
K Y Ni Pb
2 1 1 1
Cartesian
0.0000 2.9028 0.0000
2.9028 0.0000 0.0000
0.0000 0.0000 2.6267
0.0000 0.0000 0.0000
2.9028 2.9028 2.6267
```

- ΔH_f (0 K) (eV/atom) = 0.40
- symmetry = P4/mmm (123)


## AcPm2Tm (PBE)

Data for crystalline AcPm2Tm at its relaxed geometry.

Structure (POSCAR):
```
AcPm2Tm
1.0
5.1978 0.0000 0.0000
0.0000 5.1978 0.0000
0.0000 0.0000 5.2617
Ac Pm Tm
1 2 1
Cartesian
0.0000 0.0000 0.0000
0.0000 2.5989 2.6309
2.5989 0.0000 2.6309
2.5989 2.5989 0.0000
```

- ΔH_f (0 K) (eV/atom) = 0.04
- offset from the most stable computed form (meV/atom) = 0
- symmetry = P4/mmm (123)


## Ca7Hg3N2 (PBE)

Data for crystalline Ca7Hg3N2 at its relaxed geometry.

Structure (POSCAR):
```
Ca7Hg3N2
1.0
2.4572 -12.3364 0.0000
2.4572 12.3364 0.0000
0.0000 0.0000 4.8533
Ca Hg N
7 3 2
Cartesian
0.0000 0.0000 0.0000
2.4572 9.8725 2.4267
2.4572 7.4627 0.0000
2.4572 2.4963 0.0000
2.4572 -2.4963 0.0000
2.4572 -7.4627 0.0000
2.4572 -9.8725 2.4267
2.4572 5.0036 2.4267
2.4572 0.0000 2.4267
2.4572 -5.0036 2.4267
2.4572 9.8226 0.0000
2.4572 -9.8226 0.0000
```

- formation energy (no corrections) (eV/f.u.) = -7.76
- symmetry = Cmmm (65)


## ZrCoCu2Au (PBE)

Data for crystalline ZrCoCu2Au at its relaxed geometry.

Structure (POSCAR):
```
ZrCoCu2Au
1.0
4.4753 0.0000 0.0000
0.0000 4.4753 0.0000
0.0000 0.0000 4.5130
Zr Co Cu Au
1 1 2 1
Cartesian
0.0000 0.0000 0.0000
0.0000 0.0000 2.2565
0.0000 2.2376 2.2565
2.2376 0.0000 2.2565
2.2376 2.2376 0.0000
```

- ΔH_f (0 K) (eV/atom) = 0.47
- symmetry = P4/mmm (123)


## ThCoCu2 (PBE)

Data for crystalline ThCoCu2 at its relaxed geometry.

Structure (POSCAR):
```
ThCoCu2
1.0
4.1185 0.0000 0.0000
0.0000 7.0372 0.0000
-2.0239 0.0000 4.5963
Th Co Cu
2 2 4
Cartesian
-0.0058 1.7593 0.6180
2.1005 5.2779 3.9783
-0.0005 5.2779 1.9149
2.0952 1.7593 2.6814
0.0362 0.4069 3.2599
0.0362 3.1118 3.2599
2.0585 3.9255 1.3364
2.0585 6.6304 1.3364
```

- ΔH_f (0 K) (eV/atom) = -0.15
- symmetry = P2_1/m (11)


## ErMg2Zn (PBE)

Data for crystalline ErMg2Zn at its relaxed geometry.

Structure (POSCAR):
```
ErMg2Zn
1.0
0.0000 3.5047 3.5047
3.5047 0.0000 3.5047
3.5047 3.5047 0.0000
Er Mg Zn
1 2 1
Cartesian
0.0000 0.0000 0.0000
1.7523 1.7523 1.7523
5.2570 5.2570 5.2570
3.5047 3.5047 3.5047
```

- ΔH_f (0 K) (eV/atom) = -0.02
- symmetry = Fm-3m (225)


## BeAgMo2 (PBE)

Data for crystalline BeAgMo2 at its relaxed geometry.

Structure (POSCAR):
```
BeAgMo2
1.0
-1.9413 1.9413 3.9252
1.9413 -1.9413 3.9252
1.9413 1.9413 -3.9252
Be Ag Mo
1 1 2
Cartesian
0.0000 0.0000 0.0000
0.0000 1.9413 1.9626
1.9413 0.0000 1.9626
0.0000 0.0000 3.9252
```

- ΔH_f (0 K) (eV/atom) = 0.47
- symmetry = I-4m2 (119)


## Tl12P3S5 (PBE)

Data for crystalline Tl12P3S5 at its relaxed geometry.

Structure (POSCAR):
```
Tl12P3S5
1.0
-8.6279 8.6279 8.6279
8.6279 -8.6279 8.6279
8.6279 8.6279 -8.6279
Tl P S
48 12 20
Cartesian
2.6915 -0.2533 1.1875
10.2503 5.5015 -4.5672
11.3194 0.2533 1.1875
10.2503 -3.1264 4.5672
8.3746 -1.1875 2.6915
13.1951 -1.6224 3.1264
1.1875 2.6915 -0.2533
11.7543 4.0607 -1.6224
5.5015 4.5672 -1.6224
7.4404 2.6915 0.2533
-0.2533 1.1875 2.6915
4.5672 -1.6224 5.5015
8.3746 7.4404 -2.6915
4.5672 1.6224 3.1264
5.5015 -4.5672 10.2503
7.4404 -2.6915 8.3746
3.1264 4.5672 1.6224
9.8154 5.9364 0.2533
4.5672 10.2503 -3.1264
8.3746 1.1875 5.9364
2.6915 8.3746 -1.1875
10.2503 3.1264 4.0607
1.6224 3.1264 4.5672
2.6915 0.2533 7.4404
5.9364 8.3746 1.1875
7.0055 5.5015 4.0607
-1.6224 5.5015 4.5672
5.9364 0.2533 9.8154
0.2533 7.4404 2.6915
4.0607 -1.6224 11.7543
-1.1875 2.6915 8.3746
5.5015 4.0607 7.0055
1.1875 11.3194 0.2533
3.1264 13.1951 -1.6224
4.0607 7.0055 5.5015
0.2533 1.1875 11.3194
4.0607 10.2503 3.1264
8.8812 7.4404 5.9364
1.1875 5.9364 8.3746
3.1264 4.0607 10.2503
-3.1264 4.5672 10.2503
7.4404 5.9364 8.8812
-4.5672 10.2503 5.5015
0.2533 9.8154 5.9364
-1.6224 11.7543 4.0607
-2.6915 8.3746 7.4404
-1.6224 3.1264 13.1951
5.9364 8.8812 7.4404
4.3140 2.1570 0.0000
8.6279 4.3140 -2.1570
2.1570 0.0000 4.3140
10.7849 0.0000 4.3140
0.0000 4.3140 2.1570
4.3140 -2.1570 8.6279
4.3140 10.7849 0.0000
8.6279 4.3140 6.4709
-2.1570 8.6279 4.3140
6.4709 8.6279 4.3140
0.0000 4.3140 10.7849
4.3140 6.4709 8.6279
0.0000 0.0000 0.0000
4.3140 4.3140 -4.3140
4.3140 -4.3140 4.3140
8.6279 0.0000 0.0000
12.9419 2.1570 0.0000
8.6279 -4.3140 6.4709
6.4709 8.6279 -4.3140
6.4709 0.0000 4.3140
4.3140 6.4709 0.0000
8.6279 4.3140 2.1570
-4.3140 4.3140 4.3140
0.0000 8.6279 0.0000
0.0000 0.0000 8.6279
4.3140 4.3140 4.3140
0.0000 4.3140 6.4709
4.3140 2.1570 8.6279
2.1570 8.6279 4.3140
2.1570 0.0000 12.9419
0.0000 12.9419 2.1570
-4.3140 6.4709 8.6279
```

- formation energy (no corrections) (eV/f.u.) = 0.72
- symmetry = Ia-3d (230)


## TmP2S6 (PBE)

Data for crystalline TmP2S6 at its relaxed geometry.

Structure (POSCAR):
```
TmP2S6
1.0
3.1633 1.8263 7.2677
-3.1633 1.8263 7.2677
0.0000 -3.6526 7.2677
Tm P S
1 2 6
Cartesian
0.0000 0.0000 0.0000
0.0000 0.0000 13.3886
0.0000 0.0000 15.6838
-2.2986 -0.0859 8.9938
-1.0708 -1.6225 12.8128
1.2237 -1.9477 8.9938
-0.8697 1.7386 12.8128
1.0749 2.0336 8.9938
1.9405 -0.1161 12.8128
```

- formation energy (no corrections) (eV/f.u.) = -5.58
- symmetry = R3 (146)


## Sc2MoOs (PBE)

Data for crystalline Sc2MoOs at its relaxed geometry.

Structure (POSCAR):
```
Sc2MoOs
1.0
3.0547 0.0000 0.0000
0.0000 3.0547 0.0000
0.0000 0.0000 8.3540
Sc Mo Os
2 1 1
Cartesian
0.0000 0.0000 0.0000
1.5273 1.5273 3.0028
0.0000 0.0000 5.0023
1.5273 1.5273 6.5147
```

- ΔH_f (0 K) (eV/atom) = -0.11
- symmetry = P4mm (99)


## ScCuP2 (PBE)

Data for crystalline ScCuP2 at its relaxed geometry.

Structure (POSCAR):
```
ScCuP2
1.0
3.3818 0.0000 0.0000
0.0000 3.3818 0.0000
0.0000 0.0000 5.3455
Sc Cu P
1 1 2
Cartesian
0.0000 0.0000 0.0000
0.0000 0.0000 2.6728
1.6909 1.6909 1.5202
1.6909 1.6909 3.8254
```

- ΔH_f (0 K) (eV/atom) = -0.33
- symmetry = P4/mmm (123)


## AlAgPdAu (PBE)

Data for crystalline AlAgPdAu at its relaxed geometry.

Structure (POSCAR):
```
AlAgPdAu
1.0
3.0165 0.0000 0.0000
0.0000 3.0165 0.0000
0.0000 0.0000 7.1932
Al Ag Pd Au
1 1 1 1
Cartesian
0.0000 0.0000 0.0000
0.0000 0.0000 3.4129
1.5083 1.5083 1.4147
1.5083 1.5083 5.4924
```

- ΔH_f (0 K) (eV/atom) = -0.42
- symmetry = P4mm (99)